The following is a DFT calculation (PBE-GGA) of a relaxed structure of Ba3CaCl7.

Cell lengths 8.8443, 8.8443, 10.5455 Å; angles 90.00, 90.00, 115.57 degrees
Sites, in units of the cell vectors:
Cl1 0.4083 0.1549 0.4804
Cl2 0.8451 0.5917 0.5196
Cl3 0.5917 0.8451 0.5196
Cl4 0.1284 0.8945 0.7500
Cl5 0.4083 0.1549 0.0196
Cl6 0.8451 0.5917 0.9804
Cl7 0.1055 0.8716 0.2500
Cl8 0.5917 0.8451 0.9804
Cl9 0.5752 0.5752 0.2500
Cl10 0.1549 0.4083 0.4804
Cl11 0.1549 0.4083 0.0196
Cl12 0.4248 0.4248 0.7500
Cl13 0.8945 0.1284 0.7500
Cl14 0.8716 0.1055 0.2500
Ba1 0.0518 0.5166 0.7500
Ba2 0.5166 0.0518 0.7500
Ba3 0.0000 0.0000 0.5000
Ba4 0.4834 0.9482 0.2500
Ba5 0.0000 0.0000 0.0000
Ba6 0.9482 0.4834 0.2500
Ca1 0.5000 0.5000 0.5000
Ca2 0.5000 0.5000 0.0000

Output
* D(E_F): 0.137 states/eV per atom
* magnetic moment: 0.8 μB per formula unit
* symmetry: Cmcm (63)
* formation energy without anion corrections: -2.33 eV per atom